Ac6Si2SnBr3 (GGA-PBE, optimized geometry); space-group type = C2/m, No. 12; raw formation energy = -1.04 eV/atom; N(E_F) = 6.02 states/eV/cell; uncorrected energy = -4.75 eV per atom
1.0
4.6625 0.0000 0.0000
0.0000 9.2424 0.4367
-2.3313 -2.5552 9.7560
Ac Sn Si Br
6 1 2 3
Direct
0.3334 0.8859 0.6667
0.3252 0.4326 0.6504
0.9886 0.7491 0.9771
0.6748 0.5674 0.3496
0.0114 0.2509 0.0229
0.6666 0.1141 0.3333
0.5000 0.0000 0.0000
0.1679 0.3378 0.3358
0.8321 0.6622 0.6642
0.1644 0.8348 0.3287
0.8356 0.1652 0.6713
0.5000 0.5000 0.0000